# LiBe2Te (meta-GGA SCAN, single point on PBEsol structure)
# - E_form (uncorrected): 0.316 eV/atom
# - Volume: 14.6 Å³ per atom
data_LiBe2Te
_chemical_formula_sum 'Li2 Be4 Te2'
_symmetry_space_group_name_H-M 'I 4/m m m'
_symmetry_Int_Tables_number 139
_symmetry_space_group_name_Hall '-I 4 2'
_cell_length_a 3.708
_cell_length_b 3.708
_cell_length_c 8.492
_cell_angle_alpha 90.00
_cell_angle_beta 90.00
_cell_angle_gamma 90.00
loop_
_atom_site_label
_atom_site_type_symbol
_atom_site_fract_x
_atom_site_fract_y
_atom_site_fract_z
_atom_site_occupancy
Li1 Li 0.000 0.000 0.000 1
Be1 Be 0.000 0.500 0.250 1
Te1 Te 0.000 0.000 0.500 1

***

# LiBeTe (meta-GGA SCAN, single point on PBEsol structure)
# - E_form (uncorrected): 0.074 eV/atom
# - Volume: 19.0 Å³ per atom
data_LiBeTe
_chemical_formula_sum 'Li2 Be2 Te2'
_symmetry_space_group_name_H-M 'I 4 m m'
_symmetry_Int_Tables_number 107
_symmetry_space_group_name_Hall 'I 4 -2'
_cell_length_a 3.576
_cell_length_b 3.576
_cell_length_c 8.896
_cell_angle_alpha 90.00
_cell_angle_beta 90.00
_cell_angle_gamma 90.00
loop_
_atom_site_label
_atom_site_type_symbol
_atom_site_fract_x
_atom_site_fract_y
_atom_site_fract_z
_atom_site_occupancy
Li1 Li 0.000 0.000 0.000 1
Be1 Be 0.000 0.000 0.280 1
Te1 Te 0.000 0.000 0.697 1

***

# Li2BeTe (meta-GGA SCAN, single point on PBEsol structure)
# - E_form (uncorrected): -0.067 eV/atom
# - Volume: 17.3 Å³ per atom
data_Li2BeTe
_chemical_formula_sum 'Li8 Be4 Te4'
_symmetry_space_group_name_H-M 'F m -3 m'
_symmetry_Int_Tables_number 225
_symmetry_space_group_name_Hall '-F 4 2 3'
_cell_length_a 6.521
_cell_length_b 6.521
_cell_length_c 6.521
_cell_angle_alpha 90.00
_cell_angle_beta 90.00
_cell_angle_gamma 90.00
loop_
_atom_site_label
_atom_site_type_symbol
_atom_site_fract_x
_atom_site_fract_y
_atom_site_fract_z
_atom_site_occupancy
Li1 Li 0.250 0.250 0.250 1
Be1 Be 0.000 0.000 0.000 1
Te1 Te 0.000 0.000 0.500 1

***

# LiTi3Be (meta-GGA SCAN, single point on PBEsol structure)
# - Energy of formation from the pure elements: 102.9 kJ/mol of atoms
# - Volume: 15.3 Å³ per atom
data_LiTi3Be
_chemical_formula_sum 'Li1 Ti3 Be1'
_symmetry_space_group_name_H-M 'P m -3 m'
_symmetry_Int_Tables_number 221
_symmetry_space_group_name_Hall '-P 4 2 3'
_cell_length_a 4.247
_cell_length_b 4.247
_cell_length_c 4.247
_cell_angle_alpha 90.00
_cell_angle_beta 90.00
_cell_angle_gamma 90.00
loop_
_atom_site_label
_atom_site_type_symbol
_atom_site_fract_x
_atom_site_fract_y
_atom_site_fract_z
_atom_site_occupancy
Li1 Li 0.000 0.000 0.000 1
Ti1 Ti 0.000 0.000 0.500 1
Be1 Be 0.500 0.500 0.500 1

***

# LiZr2TiBe (meta-GGA SCAN, single point on PBEsol structure)
# - Energy of formation from the pure elements: 94.4 kJ/mol of atoms
# - Volume: 17.8 Å³ per atom
data_LiZr2TiBe
_chemical_formula_sum 'Li1 Zr2 Ti1 Be1'
_symmetry_space_group_name_H-M 'P 4/m m m'
_symmetry_Int_Tables_number 123
_symmetry_space_group_name_Hall '-P 4 2'
_cell_length_a 4.543
_cell_length_b 4.543
_cell_length_c 4.310
_cell_angle_alpha 90.00
_cell_angle_beta 90.00
_cell_angle_gamma 90.00
loop_
_atom_site_label
_atom_site_type_symbol
_atom_site_fract_x
_atom_site_fract_y
_atom_site_fract_z
_atom_site_occupancy
Li1 Li 0.000 0.000 0.000 1
Zr1 Zr 0.000 0.500 0.000 1
Ti1 Ti 0.000 0.000 0.500 1
Be1 Be 0.500 0.500 0.500 1

***

# Li2BeTl (meta-GGA SCAN, single point on PBEsol structure)
# - Energy of formation from the pure elements: 9.8 kJ/mol of atoms
# - Volume: 16.1 Å³ per atom
data_Li2BeTl
_chemical_formula_sum 'Li2 Be1 Tl1'
_symmetry_space_group_name_H-M 'P 4 m m'
_symmetry_Int_Tables_number 99
_symmetry_space_group_name_Hall 'P 4 -2'
_cell_length_a 3.172
_cell_length_b 3.172
_cell_length_c 6.393
_cell_angle_alpha 90.00
_cell_angle_beta 90.00
_cell_angle_gamma 90.00
loop_
_atom_site_label
_atom_site_type_symbol
_atom_site_fract_x
_atom_site_fract_y
_atom_site_fract_z
_atom_site_occupancy
Li1 Li 0.000 0.000 0.000 1
Li2 Li 0.500 0.500 0.263 1
Be1 Be 0.500 0.500 0.807 1
Tl1 Tl 0.000 0.000 0.546 1

***

# LiBe2Tl (meta-GGA SCAN, single point on PBEsol structure)
# - Energy above the lowest structure with this stoichiometry: 2 meV/atom
# - Energy of formation from the pure elements: 28.3 kJ/mol of atoms
# - Volume: 14.5 Å³ per atom
data_LiBe2Tl
_chemical_formula_sum 'Li1 Be2 Tl1'
_symmetry_space_group_name_H-M 'P 4 m m'
_symmetry_Int_Tables_number 99
_symmetry_space_group_name_Hall 'P 4 -2'
_cell_length_a 2.973
_cell_length_b 2.973
_cell_length_c 6.556
_cell_angle_alpha 90.00
_cell_angle_beta 90.00
_cell_angle_gamma 90.00
loop_
_atom_site_label
_atom_site_type_symbol
_atom_site_fract_x
_atom_site_fract_y
_atom_site_fract_z
_atom_site_occupancy
Li1 Li 0.000 0.000 0.000 1
Be1 Be 0.000 0.000 0.373 1
Be2 Be 0.500 0.500 0.259 1
Tl1 Tl 0.500 0.500 0.686 1

***

# LiBe2Tl (meta-GGA SCAN, single point on PBEsol structure)
# - Energy above the lowest structure with this stoichiometry: 0 meV/atom
# - Energy of formation from the pure elements: 28.2 kJ/mol of atoms
# - Volume: 13.4 Å³ per atom
data_LiBe2Tl
_chemical_formula_sum 'Li1 Be2 Tl1'
_symmetry_space_group_name_H-M 'P 4/m m m'
_symmetry_Int_Tables_number 123
_symmetry_space_group_name_Hall '-P 4 2'
_cell_length_a 3.770
_cell_length_b 3.770
_cell_length_c 3.758
_cell_angle_alpha 90.00
_cell_angle_beta 90.00
_cell_angle_gamma 90.00
loop_
_atom_site_label
_atom_site_type_symbol
_atom_site_fract_x
_atom_site_fract_y
_atom_site_fract_z
_atom_site_occupancy
Li1 Li 0.000 0.000 0.000 1
Be1 Be 0.000 0.500 0.500 1
Tl1 Tl 0.500 0.500 0.000 1

***

Across the entries above, density takes the values 4.339 4.191 3.605 3.458 4.597 5.866 6.573 7.130 Mg/m³, respectively.